Entry 1:
A relaxed CaInMo4 crystal. Source: the Alexandria database, functional PBE.

calculated formation energy: 0.386 eV/atom
ρ: 7.86 g/cm3

a b c (Å): 7.6914 7.6914 7.6914
angles (deg): 90.00 90.00 90.00
Space group F-43m (No. 216)
Asymmetric unit:
Ca1 0.0000 0.0000 0.0000 [4 per cell]
In1 0.2500 0.2500 0.7500 [4 per cell]
Mo1 0.1251 0.1251 0.3749 [16 per cell]

=====

Entry 2:
A relaxed NdReBr crystal. Source: the Alexandria database, functional PBE.

formation energy without anion corrections: -0.86 eV/atom
ρ: 7.63 g/cm3

a b c (Å): 4.1753 4.1753 35.4699
angles (deg): 90.00 90.00 120.00
Space group R-3m (No. 166, hexagonal axes)
Asymmetric unit:
Nd1 0.0000 0.0000 0.0633 [6 per cell]
Re1 0.0000 0.0000 0.3393 [6 per cell]
Br1 0.0000 0.0000 0.2165 [6 per cell]

=====

Entry 3:
A relaxed LiSm2Pd5 crystal. Source: the Alexandria database, functional PBE.

calculated formation energy: -0.761 eV/atom
ρ: 9.61 g/cm3

a b c (Å): 6.0014 6.0014 8.0606
angles (deg): 90.00 90.00 90.00
Space group I4mm (No. 107)
Asymmetric unit:
Li1 0.0000 0.0000 0.0000 [2 per cell]
Sm1 0.0000 0.5000 0.0022 [4 per cell]
Pd1 0.0000 0.0000 0.5023 [2 per cell]
Pd2 0.2498 0.2498 0.2521 [8 per cell]

=====

Entry 4:
A relaxed TmTaTcIr crystal. Source: the Alexandria database, functional PBE.

calculated formation energy: -0.498 eV/atom
ρ: 15.23 g/cm3

a b c (Å): 6.5350 6.5350 6.5350
angles (deg): 90.00 90.00 90.00
Space group F-43m (No. 216)
Asymmetric unit:
Tm1 0.0000 0.0000 0.0000 [4 per cell]
Ta1 0.0000 0.0000 0.5000 [4 per cell]
Tc1 0.2500 0.2500 0.7500 [4 per cell]
Ir1 0.2500 0.2500 0.2500 [4 per cell]

=====

Entry 5:
A relaxed LiSiF3 crystal. Source: the Alexandria database, functional PBE.

formation energy without anion corrections: -1.90 eV/atom
offset from the most stable computed form: 28 meV/atom
ρ: 2.95 g/cm3

a b c (Å): 3.7281 3.7281 3.7281
angles (deg): 90.00 90.00 90.00
Space group Pm-3m (No. 221)
Asymmetric unit:
Li1 0.0000 0.0000 0.0000 [1 per cell]
Si1 0.5000 0.5000 0.5000 [1 per cell]
F1 0.0000 0.0000 0.5000 [3 per cell]

=====

Entry 6:
A relaxed TbCePmMg crystal. Source: the Alexandria database, functional PBE.

calculated formation energy: 0.119 eV/atom
ρ: 6.41 g/cm3

a b c (Å): 7.8588 7.8588 7.8588
angles (deg): 90.00 90.00 90.00
Space group F-43m (No. 216)
Asymmetric unit:
Tb1 0.0000 0.0000 0.0000 [4 per cell]
Ce1 0.0000 0.0000 0.5000 [4 per cell]
Pm1 0.2500 0.2500 0.2500 [4 per cell]
Mg1 0.2500 0.2500 0.7500 [4 per cell]

=====

Entry 7:
A relaxed Er2Te3H crystal. Source: the Alexandria database, functional PBE.

offset from the most stable computed form: 155 meV/atom
ρ: 6.64 g/cm3

a b c (Å): 15.8399 4.6548 10.7393
angles (deg): 90.00 114.80 90.00
Space group C2/m (No. 12)
Asymmetric unit:
Er1 0.0959 0.0000 0.4512 [4 per cell]
Er2 0.1467 0.5000 0.8342 [4 per cell]
Te1 0.0598 0.5000 0.2552 [4 per cell]
Te2 0.1402 0.0000 0.0024 [4 per cell]
Te3 0.2202 0.5000 0.6190 [4 per cell]
H1 0.0538 0.0000 0.6186 [4 per cell]

=====

Entry 8:
A relaxed HfScAu crystal. Source: the Alexandria database, functional PBE.

offset from the most stable computed form: 550 meV/atom
calculated formation energy: 0.072 eV/atom
ρ: 11.82 g/cm3

a b c (Å): 4.8859 4.8859 5.7119
angles (deg): 90.00 90.00 120.00
Space group P6_3/mmc (No. 194)
Asymmetric unit:
Hf1 0.3333 0.6667 0.2500 [2 per cell]
Sc1 0.3333 0.6667 0.7500 [2 per cell]
Au1 0.0000 0.0000 0.0000 [2 per cell]